Entry 1:
Computed, not measured: a geometry-optimized CaTl2Br2 structure at the PBE level of DFT.

The value obtained for the electronic total energy is -28.93 eV per cell. The symmetry is P4/mbm (127).

Unit cell a=7.5925 b=7.5925 c=5.9737 alpha=90.00 beta=90.00 gamma=90.00
Fractional coordinates of all 10 atoms:
Ca 0.0000 0.0000 0.0000
Ca 0.5000 0.5000 0.0000
Tl 0.1722 0.3278 0.5000
Tl 0.3278 0.8278 0.5000
Tl 0.6722 0.1722 0.5000
Tl 0.8278 0.6722 0.5000
Br 0.1714 0.6714 0.0000
Br 0.3286 0.1714 0.0000
Br 0.6714 0.8286 0.0000
Br 0.8286 0.3286 0.0000

=====

Entry 2:
Computed, not measured: a geometry-optimized CaTl2Br5 structure at the PBE level of DFT.

The value obtained for the energy above the lowest structure with this stoichiometry is 0.000 eV/atom. The symmetry is Cmcm (63).

Unit cell a=8.0361 b=8.0361 c=14.8067 alpha=90.00 beta=90.00 gamma=136.89
Fractional coordinates of all 16 atoms:
Ca 0.1972 0.8028 0.7500
Ca 0.8028 0.1972 0.2500
Tl 0.1442 0.8558 0.0683
Tl 0.1442 0.8558 0.4317
Tl 0.8558 0.1442 0.5683
Tl 0.8558 0.1442 0.9317
Br 0.0575 0.9425 0.6176
Br 0.0575 0.9425 0.8824
Br 0.2779 0.7221 0.2500
Br 0.3234 0.6766 0.5925
Br 0.3234 0.6766 0.9075
Br 0.6766 0.3234 0.0925
Br 0.6766 0.3234 0.4075
Br 0.7221 0.2779 0.7500
Br 0.9425 0.0575 0.1176
Br 0.9425 0.0575 0.3824

=====

Entry 3:
Computed, not measured: a geometry-optimized CaTl6Br8 structure at the PBE level of DFT.

The value obtained for the electronic total energy is -45.52 eV per cell. The symmetry is P-31m (162).

Unit cell a=9.9300 b=9.9300 c=6.4403 alpha=90.00 beta=90.00 gamma=120.00
Fractional coordinates of all 15 atoms:
Ca 0.0000 0.0000 0.0000
Tl 0.0000 0.3800 0.7701
Tl 0.0000 0.6200 0.2299
Tl 0.3800 0.0000 0.7701
Tl 0.3800 0.3800 0.2299
Tl 0.6200 0.0000 0.2299
Tl 0.6200 0.6200 0.7701
Br 0.0000 0.2482 0.2412
Br 0.0000 0.7518 0.7588
Br 0.2482 0.0000 0.2412
Br 0.2482 0.2482 0.7588
Br 0.3333 0.6667 0.0000
Br 0.6667 0.3333 0.0000
Br 0.7518 0.0000 0.7588
Br 0.7518 0.7518 0.2412

=====

Entry 4:
Computed, not measured: a geometry-optimized CaTl3Br structure at the PBE level of DFT.

The value obtained for the energy above the lowest structure with this stoichiometry is 0.000 eV/atom. The symmetry is Pm-3m (221).

Unit cell a=5.9776 b=5.9776 c=5.9776 alpha=90.00 beta=90.00 gamma=90.00
Fractional coordinates of all 5 atoms:
Ca 0.0000 0.0000 0.0000
Tl 0.0000 0.5000 0.5000
Tl 0.5000 0.0000 0.5000
Tl 0.5000 0.5000 0.0000
Br 0.5000 0.5000 0.5000

=====

Entry 5:
Computed, not measured: a geometry-optimized Ca2Tl5Br12 structure at the PBE level of DFT.

The value obtained for the electronic total energy is -56.19 eV per cell. The symmetry is C2/m (12).

Unit cell a=9.9694 b=9.9694 c=9.8093 alpha=109.34 beta=109.34 gamma=50.25
Fractional coordinates of all 19 atoms:
Ca 0.2466 0.7534 0.0000
Ca 0.7534 0.2466 0.0000
Tl 0.1757 0.1757 0.8428
Tl 0.2145 0.2145 0.3582
Tl 0.5000 0.5000 0.5000
Tl 0.7855 0.7855 0.6418
Tl 0.8243 0.8243 0.1572
Br 0.0113 0.0113 0.2114
Br 0.0684 0.5888 0.9155
Br 0.1549 0.6079 0.4093
Br 0.3921 0.8451 0.5907
Br 0.4112 0.9316 0.0845
Br 0.4786 0.4786 0.7876
Br 0.5214 0.5214 0.2124
Br 0.5888 0.0684 0.9155
Br 0.6079 0.1549 0.4093
Br 0.8451 0.3921 0.5907
Br 0.9316 0.4112 0.0845
Br 0.9887 0.9887 0.7886

=====

Entry 6:
Computed, not measured: a geometry-optimized CaTlBr3 structure at the PBE level of DFT.

The value obtained for the electronic total energy is -34.53 eV per cell. The symmetry is Cmcm (63).

Unit cell a=7.5319 b=7.5319 c=10.9295 alpha=90.00 beta=90.00 gamma=146.78
Fractional coordinates of all 10 atoms:
Ca 0.0000 0.0000 0.0000
Ca 0.0000 0.0000 0.5000
Tl 0.2604 0.7396 0.7500
Tl 0.7396 0.2604 0.2500
Br 0.0684 0.9316 0.2500
Br 0.3679 0.6321 0.0505
Br 0.3679 0.6321 0.4495
Br 0.6321 0.3679 0.5505
Br 0.6321 0.3679 0.9495
Br 0.9316 0.0684 0.7500

=====

Entry 7:
Computed, not measured: a geometry-optimized CaTl2Br structure at the PBE level of DFT.

The value obtained for the energy above the lowest structure with this stoichiometry is 0.087 eV/atom. The symmetry is Immm (71).

Unit cell a=3.6878 b=4.5711 c=15.3894 alpha=90.00 beta=90.00 gamma=90.00
Fractional coordinates of all 8 atoms:
Ca 0.0000 0.0000 0.0000
Ca 0.5000 0.5000 0.5000
Tl 0.0000 0.5000 0.3050
Tl 0.0000 0.5000 0.6950
Tl 0.5000 0.0000 0.1950
Tl 0.5000 0.0000 0.8050
Br 0.0000 0.0000 0.5000
Br 0.5000 0.5000 0.0000

=====

Entry 8:
Computed, not measured: a geometry-optimized CaTl2Br structure at the PBE level of DFT.

The value obtained for the energy above the lowest structure with this stoichiometry is 0.000 eV/atom. The symmetry is P4mm (99).

Unit cell a=3.5919 b=3.5919 c=9.9377 alpha=90.00 beta=90.00 gamma=90.00
Fractional coordinates of all 4 atoms:
Ca 0.0000 0.0000 0.0000
Tl 0.0000 0.0000 0.4828
Tl 0.5000 0.5000 0.2389
Br 0.5000 0.5000 0.8371

=====

Entry 9:
Computed, not measured: a geometry-optimized Ca2TlBr5 structure at the PBE level of DFT.

The value obtained for the electronic total energy is -56.53 eV per cell. The symmetry is Immm (71).

Unit cell a=4.4671 b=7.4412 c=15.5540 alpha=90.00 beta=90.00 gamma=90.00
Fractional coordinates of all 16 atoms:
Ca 0.0000 0.0000 0.1848
Ca 0.0000 0.0000 0.8152
Ca 0.5000 0.5000 0.3152
Ca 0.5000 0.5000 0.6848
Tl 0.0000 0.5000 0.0000
Tl 0.5000 0.0000 0.5000
Br 0.0000 0.0000 0.0000
Br 0.0000 0.2379 0.3446
Br 0.0000 0.2379 0.6554
Br 0.0000 0.7621 0.3446
Br 0.0000 0.7621 0.6554
Br 0.5000 0.2621 0.1554
Br 0.5000 0.2621 0.8446
Br 0.5000 0.5000 0.5000
Br 0.5000 0.7379 0.1554
Br 0.5000 0.7379 0.8446

=====

Entry 10:
Computed, not measured: a geometry-optimized CaTl2Br structure at the PBE level of DFT.

The value obtained for the energy above the lowest structure with this stoichiometry is 0.384 eV/atom. The symmetry is R-3m (166).

Unit cell a=3.9328 b=3.9328 c=29.6984 alpha=90.00 beta=90.00 gamma=120.00
Fractional coordinates of all 12 atoms:
Ca 0.0000 0.0000 0.0000
Ca 0.3333 0.6667 0.6667
Ca 0.6667 0.3333 0.3333
Tl 0.0000 0.0000 0.2442
Tl 0.0000 0.0000 0.7558
Tl 0.3333 0.6667 0.4225
Tl 0.3333 0.6667 0.9109
Tl 0.6667 0.3333 0.0891
Tl 0.6667 0.3333 0.5775
Br 0.0000 0.0000 0.5000
Br 0.3333 0.6667 0.1667
Br 0.6667 0.3333 0.8333

=====

Entry 11:
Computed, not measured: a geometry-optimized CaTl2Br structure at the PBE level of DFT.

The value obtained for the energy above the lowest structure with this stoichiometry is 0.134 eV/atom. The symmetry is C2/m (12).

Unit cell a=6.1119 b=12.4945 c=4.4920 alpha=90.00 beta=132.54 gamma=90.00
Fractional coordinates of all 8 atoms:
Ca 0.0000 0.0000 0.0000
Ca 0.5000 0.5000 0.0000
Tl 0.2500 0.2500 0.5000
Tl 0.2500 0.7500 0.5000
Tl 0.7500 0.2500 0.5000
Tl 0.7500 0.7500 0.5000
Br 0.0000 0.5000 0.0000
Br 0.5000 0.0000 0.0000

=====

Entry 12:
Computed, not measured: a geometry-optimized CaTlBr3 structure at the PBE level of DFT.

The value obtained for the electronic total energy is -34.37 eV per cell. The symmetry is P2_1/m (11).

Unit cell a=9.1998 b=4.3610 c=9.2219 alpha=90.00 beta=97.85 gamma=90.00
Fractional coordinates of all 10 atoms:
Ca 0.1489 0.2500 0.1629
Ca 0.8511 0.7500 0.8371
Tl 0.3007 0.2500 0.6134
Tl 0.6993 0.7500 0.3866
Br 0.0932 0.7500 0.3573
Br 0.1705 0.7500 0.9485
Br 0.4463 0.2500 0.2989
Br 0.5537 0.7500 0.7011
Br 0.8295 0.2500 0.0515
Br 0.9068 0.2500 0.6427

=====

Please write out number 10 again, unchanged.
Computed, not measured: a geometry-optimized CaTl2Br structure at the PBE level of DFT.

The value obtained for the energy above the lowest structure with this stoichiometry is 0.384 eV/atom. The symmetry is R-3m (166).

Unit cell a=3.9328 b=3.9328 c=29.6984 alpha=90.00 beta=90.00 gamma=120.00
Fractional coordinates of all 12 atoms:
Ca 0.0000 0.0000 0.0000
Ca 0.3333 0.6667 0.6667
Ca 0.6667 0.3333 0.3333
Tl 0.0000 0.0000 0.2442
Tl 0.0000 0.0000 0.7558
Tl 0.3333 0.6667 0.4225
Tl 0.3333 0.6667 0.9109
Tl 0.6667 0.3333 0.0891
Tl 0.6667 0.3333 0.5775
Br 0.0000 0.0000 0.5000
Br 0.3333 0.6667 0.1667
Br 0.6667 0.3333 0.8333